SnMoO2F | PBEsol | optimized geometry

* spin magnetization: 4.684 μB/f.u.
* space group: P4/mmm (123)
* total energy: -6.142 eV/atom
* formation energy from raw total energies: -0.45 eV/atom

Cell lengths 4.0783, 4.0783, 4.2209 Å; angles 90.00, 90.00, 90.00 degrees
Fractional coordinates of all 5 atoms:
1 Sn 0.0000 0.0000 0.0000
2 Mo 0.5000 0.5000 0.5000
3 O 0.0000 0.5000 0.0000
4 O 0.5000 0.0000 0.0000
5 F 0.0000 0.0000 0.5000